1.
DFT (PBE) results for a relaxed structure of ZrHRu2W.

Cell lengths 4.891, 4.891, 3.240 Å; angles 90.00, 90.00, 90.00 degrees
Space group P4/mmm (No. 123)
Inequivalent atoms, fractional coordinates:
Zr  0.000  0.000  0.000 (multiplicity 1)
H  0.000  0.000  0.500 (multiplicity 1)
Ru  0.000  0.500  0.000 (multiplicity 2)
W  0.500  0.500  0.500 (multiplicity 1)



2.
DFT (PBE) results for a relaxed structure of ZrHRu2W.

Cell lengths 4.118, 4.118, 3.961 Å; angles 90.00, 90.00, 90.00 degrees
Space group P4/mmm (No. 123)
Inequivalent atoms, fractional coordinates:
Zr  0.000  0.000  0.000 (multiplicity 1)
H  0.500  0.500  0.500 (multiplicity 1)
Ru  0.000  0.500  0.500 (multiplicity 2)
W  0.500  0.500  0.000 (multiplicity 1)



It is 2 that is the most stable of them.



1.
DFT (PBE) results for a relaxed structure of YH4Ru.

Cell lengths 5.159, 9.045, 5.611 Å; angles 90.00, 111.08, 90.00 degrees
Space group C2/c (No. 15)
Inequivalent atoms, fractional coordinates:
Y  0.000  0.135  0.250 (multiplicity 4)
H  0.001  0.372  0.966 (multiplicity 8)
H  0.153  0.076  0.660 (multiplicity 8)
Ru  0.000  0.451  0.250 (multiplicity 4)



2.
DFT (PBE) results for a relaxed structure of YH4Ru.

Cell lengths 4.279, 6.138, 8.399 Å; angles 90.00, 90.11, 90.00 degrees
Space group C2/c (No. 15)
Inequivalent atoms, fractional coordinates:
Y  0.000  0.000  0.000 (multiplicity 4)
H  0.000  0.355  0.048 (multiplicity 8)
H  0.247  0.107  0.250 (multiplicity 8)
Ru  0.000  0.352  0.250 (multiplicity 4)



It is 1 that is the most stable of them.



1.
DFT (PBE) results for a relaxed structure of ZnHRu2.

Cell lengths 6.013, 6.013, 5.056 Å; angles 90.00, 90.00, 90.00 degrees
Space group I-42d (No. 122)
Inequivalent atoms, fractional coordinates:
Zn  0.000  0.000  0.000 (multiplicity 4)
H  0.000  0.000  0.500 (multiplicity 4)
Ru  0.154  0.750  0.625 (multiplicity 8)



2.
DFT (PBE) results for a relaxed structure of ZnHRu2.

Cell lengths 2.7996, 2.7996, 19.6557 Å; angles 90.00, 90.00, 120.00 degrees
Space group R-3m (No. 166, hexagonal axes)
Inequivalent atoms, fractional coordinates:
Zn  0.0000  0.0000  0.0000 (multiplicity 3)
H  0.0000  0.0000  0.5000 (multiplicity 3)
Ru  0.0000  0.0000  0.2230 (multiplicity 6)



3.
DFT (PBE) results for a relaxed structure of ZnHRu2.

Cell lengths 4.859, 2.803, 6.713 Å; angles 90.00, 103.75, 90.00 degrees
Space group Cm (No. 8)
Inequivalent atoms, fractional coordinates:
Zn  0.000  0.000  0.000 (multiplicity 2)
H  0.333  0.500  0.499 (multiplicity 2)
Ru  0.222  0.000  0.669 (multiplicity 2)
Ru  0.444  0.000  0.330 (multiplicity 2)



It is 3 that is the most stable of them.